Tb2MgZn3Ga4 PBE-GGA relaxed; DOS at the Fermi energy = 0.3137 states/eV per atom; calculated volume = 19.17 Å³ per atom; total DFT energy (no corrections) = -3.093 eV per atom; calculated density = 7.1 Mg/m³
1.0
4.179 0.000 0.000
0.000 4.179 0.000
0.000 0.000 10.978
Tb Zn Ga Mg
2 3 4 1
Direct
0.000 0.500 0.760
0.500 0.000 0.240
0.500 0.000 0.865
0.000 0.500 0.135
0.000 0.000 0.500
0.500 0.500 0.000
0.500 0.000 0.647
0.000 0.000 0.000
0.000 0.500 0.353
0.500 0.500 0.500